# 1
{"formula": "ThSc2Cd2", "functional": "PBE", "state": "optimized geometry", "mass_density_kg_m3": 7119, "formation_energy_mev_per_atom": -69, "final_energy_ev_per_atom": -4.45, "cell": [[1.7352, -10.7156, 0.0000], [1.7352, 10.7156, 0.0000], [0.0000, 0.0000, 3.4295]], "species": ["Th", "Sc", "Sc", "Cd", "Cd"], "fractional_positions": [[0.0000, 0.0000, 0.0000], [0.3938, 0.6062, 0.5000], [0.6062, 0.3938, 0.5000], [0.1949, 0.8051, 0.0000], [0.8051, 0.1949, 0.0000]]}

# 2
{"formula": "Th2ScCd", "functional": "PBE", "state": "optimized geometry", "mass_density_kg_m3": 9050, "formation_energy_mev_per_atom": 82, "final_energy_ev_per_atom": -5.44, "cell": [[0.0000, 3.8487, 3.8487], [3.8487, 0.0000, 3.8487], [3.8487, 3.8487, 0.0000]], "species": ["Th", "Th", "Sc", "Cd"], "fractional_positions": [[0.2500, 0.2500, 0.2500], [0.7500, 0.7500, 0.7500], [0.0000, 0.0000, 0.0000], [0.5000, 0.5000, 0.5000]]}

# 3
{"formula": "ThScCd6", "functional": "PBE", "state": "optimized geometry", "mass_density_kg_m3": 8269, "formation_energy_mev_per_atom": -146, "final_energy_ev_per_atom": -2.55, "cell": [[4.8886, 0.0000, 0.0000], [0.0000, 3.5765, 5.4640], [0.0000, -3.5765, 5.4640]], "species": ["Th", "Sc", "Cd", "Cd", "Cd", "Cd", "Cd", "Cd"], "fractional_positions": [[0.0000, 0.0000, 0.0000], [0.5000, 0.2706, 0.2706], [0.0000, 0.4531, 0.4531], [0.0000, 0.5115, 0.9509], [0.0000, 0.9509, 0.5115], [0.5000, 0.3328, 0.7550], [0.5000, 0.7550, 0.3328], [0.5000, 0.8064, 0.8064]]}

# 4
{"formula": "Th2ScCd", "functional": "PBE", "state": "optimized geometry", "mass_density_kg_m3": 8974, "formation_energy_mev_per_atom": 62, "final_energy_ev_per_atom": -5.46, "cell": [[1.7112, 0.9880, 11.3361], [-1.7112, 0.9880, 11.3361], [0.0000, -1.9759, 11.3361]], "species": ["Th", "Th", "Sc", "Cd"], "fractional_positions": [[0.0000, 0.0000, 0.0000], [0.1667, 0.1667, 0.1667], [0.5831, 0.5831, 0.5831], [0.4171, 0.4171, 0.4171]]}